Sr5Hg4Pt: relaxed, GGA-PBE.

Calculated values
As for the formation energy: -569 meV/atom.

```
Sr5Hg4Pt
1.0
-0.483 0.560 -3.818
-2.833 -2.663 -0.032
-13.555 14.375 3.824
Hg Sr Pt
4 5 1
Direct
0.000 0.000 0.397
0.000 0.000 0.192
0.000 0.000 0.808
0.000 0.000 0.603
0.500 0.500 0.295
0.500 0.500 0.087
0.500 0.500 0.500
0.500 0.500 0.913
0.500 0.500 0.705
0.000 0.000 0.000
```

SrHg2Pt: relaxed, GGA-PBE.

Calculated values
As for the formation energy: -513 meV/atom.

```
SrHg2Pt
1.0
-1.528 5.621 0.106
-1.841 -0.349 -8.033
-15.542 -4.296 3.749
Sr Pt Hg
8 8 16
Direct
0.263 0.750 0.603
0.466 0.250 0.140
0.763 0.250 0.897
0.966 0.750 0.360
0.534 0.750 0.860
0.034 0.250 0.640
0.237 0.750 0.103
0.737 0.250 0.397
0.230 0.250 0.317
0.026 0.750 0.929
0.730 0.750 0.183
0.526 0.250 0.571
0.270 0.250 0.817
0.474 0.750 0.429
0.770 0.750 0.683
0.974 0.250 0.071
0.738 0.946 0.036
0.238 0.054 0.464
0.262 0.054 0.964
0.034 0.548 0.787
0.534 0.452 0.713
0.966 0.048 0.213
0.534 0.048 0.713
0.966 0.452 0.213
0.738 0.554 0.036
0.762 0.554 0.536
0.466 0.952 0.287
0.034 0.952 0.787
0.466 0.548 0.287
0.762 0.946 0.536
0.262 0.446 0.964
0.238 0.446 0.464
```

Sr11Hg9Pt4: relaxed, GGA-PBE.

Calculated values
As for the formation energy: -600 meV/atom.

```
Sr11Hg9Pt4
1.0
-3.985 0.336 -0.432
-0.532 -12.830 -5.072
-1.474 0.152 13.727
Sr Hg Pt
11 9 4
Direct
0.000 0.629 0.371
0.000 0.830 0.170
0.000 0.304 0.304
0.000 0.170 0.830
0.000 0.412 0.077
0.000 0.077 0.412
0.000 0.371 0.629
0.000 0.696 0.696
0.000 0.923 0.588
0.000 0.588 0.923
0.000 0.000 0.000
0.500 0.932 0.787
0.500 0.376 0.843
0.500 0.213 0.068
0.500 0.843 0.376
0.500 0.787 0.932
0.500 0.157 0.624
0.500 0.068 0.213
0.500 0.500 0.500
0.500 0.624 0.157
0.500 0.452 0.251
0.500 0.749 0.548
0.500 0.251 0.452
0.500 0.548 0.749
```

Sr2Hg3Pt: relaxed, GGA-PBE.

Calculated values
As for the formation energy: -551 meV/atom.

```
Sr2Hg3Pt
1.0
-2.658 -3.453 2.080
3.093 -3.188 4.264
-2.515 1.979 5.678
Sr Hg Pt
2 3 1
Direct
0.450 0.805 0.294
0.554 0.205 0.686
0.850 0.618 0.682
0.825 0.236 0.115
0.164 0.757 0.915
0.157 0.378 0.308
```

SrHgPt2: relaxed, GGA-PBE.

Calculated values
As for the formation energy: -354 meV/atom.

```
SrHgPt2
1.0
-7.500 -0.578 0.958
3.137 -1.445 2.816
-2.065 1.746 3.164
Hg Pt Sr
1 2 1
Direct
0.500 0.500 0.000
0.000 0.000 0.000
0.500 0.000 0.500
0.000 0.500 0.500
```

Sr3Hg2Pt: relaxed, GGA-PBE.

Calculated values
As for the formation energy: -586 meV/atom.

```
Sr3Hg2Pt
1.0
-5.444 -0.423 -0.511
-3.261 -2.739 7.578
-0.796 7.430 2.342
Sr Hg Pt
6 4 2
Direct
0.173 0.654 0.230
0.500 0.000 0.239
0.827 0.346 0.230
0.827 0.346 0.770
0.500 0.000 0.761
0.173 0.654 0.770
0.334 0.332 0.500
0.000 0.000 0.000
0.000 0.000 0.500
0.666 0.668 0.500
0.659 0.682 0.000
0.341 0.318 0.000
```

Please write out number 2 again, unchanged.
SrHg2Pt: relaxed, GGA-PBE.

Calculated values
As for the formation energy: -513 meV/atom.

```
SrHg2Pt
1.0
-1.528 5.621 0.106
-1.841 -0.349 -8.033
-15.542 -4.296 3.749
Sr Pt Hg
8 8 16
Direct
0.263 0.750 0.603
0.466 0.250 0.140
0.763 0.250 0.897
0.966 0.750 0.360
0.534 0.750 0.860
0.034 0.250 0.640
0.237 0.750 0.103
0.737 0.250 0.397
0.230 0.250 0.317
0.026 0.750 0.929
0.730 0.750 0.183
0.526 0.250 0.571
0.270 0.250 0.817
0.474 0.750 0.429
0.770 0.750 0.683
0.974 0.250 0.071
0.738 0.946 0.036
0.238 0.054 0.464
0.262 0.054 0.964
0.034 0.548 0.787
0.534 0.452 0.713
0.966 0.048 0.213
0.534 0.048 0.713
0.966 0.452 0.213
0.738 0.554 0.036
0.762 0.554 0.536
0.466 0.952 0.287
0.034 0.952 0.787
0.466 0.548 0.287
0.762 0.946 0.536
0.262 0.446 0.964
0.238 0.446 0.464
```